Below is a crystal of LiRe2Pb relaxed with PBEsol, with properties calculated at the SCAN level.

Cell: 3.0465 4.7938 4.7055 Å, 90.00 92.91 90.00°
Sites, in units of the cell vectors:
Li 0.0000 0.0000 0.0000
Re 0.2842 0.5000 0.2023
Re 0.7158 0.5000 0.7977
Pb 0.5000 0.0000 0.5000

Properties
D(E_F) in states/eV/f.u.: 1.68
Total moment in Bohr magnetons per cell: 0.00
Energy of formation in eV/atom: 0.579